The following is a DFT calculation (PBE) of a geometry-optimized Fe2NiMo structure.

Cell lengths 2.563, 2.563, 7.860 Å; angles 90.00, 90.00, 101.90 degrees
Element x y z (fractional)
Fe (0.500, 0.500, 0.236)
Mo (0.000, 0.000, 0.505)
Ni (0.500, 0.500, 0.763)
Fe (0.000, 0.000, 0.996)

Properties
The calculation puts the total moment at 5.06 μB/cell. The formation energy from the elements comes out at 67 meV/atom. As for the volume: 12.6 Å³ per atom. The space-group type is No. 35.